[1]
DFT (GGA-PBE) results for a relaxed TeAuSe2 crystal.

Summary:
- Volume: 105.1 Å³ per cell
- Space group: No. 71
- Relative energy among the computed polymorphs: 192 meV per atom
- Formation energy from raw total energies: 0.223 eV per atom

a = 6.291 Å, b = 6.291 Å, c = 6.291 Å
α = 133.98°, β = 143.66°, γ = 60.00°
Atoms (fractional coordinates):
Se 0.089 0.089 0.000
Te 0.250 0.750 0.500
Au 0.750 0.250 0.500
Se 0.411 0.411 0.000

[2]
DFT (GGA-PBE) results for a relaxed SrTa4Mn crystal.

Summary:
- Volume: 129.2 Å³ per cell
- Space group: No. 216
- Formation energy from the elements: 0.78 eV/atom

a = 5.674 Å, b = 5.674 Å, c = 5.674 Å
α = 60.00°, β = 60.00°, γ = 60.00°
Atoms (fractional coordinates):
Ta 0.374 0.879 0.374
Ta 0.374 0.374 0.879
Ta 0.879 0.374 0.374
Sr 0.000 0.000 0.000
Mn 0.750 0.750 0.750
Ta 0.374 0.374 0.374

[3]
DFT (GGA-PBE) results for a relaxed Ac9TbPm2 crystal.

Summary:
- Volume: 502.5 Å³ per cell
- Space group: No. 123
- Formation energy from the elements: 0.03 eV/atom

a = 5.512 Å, b = 5.512 Å, c = 16.539 Å
α = 90.00°, β = 90.00°, γ = 90.00°
Atoms (fractional coordinates):
Pm 0.000 0.000 0.333
Ac 0.000 0.500 0.834
Ac 0.500 0.000 0.834
Tb 0.000 0.000 0.000
Ac 0.500 0.000 0.166
Ac 0.500 0.500 0.333
Ac 0.500 0.500 0.000
Pm 0.000 0.000 0.667
Ac 0.500 0.000 0.500
Ac 0.000 0.500 0.166
Ac 0.000 0.500 0.500
Ac 0.500 0.500 0.667

[4]
DFT (GGA-PBE) results for a relaxed RbCaCl2 crystal.

Summary:
- Volume: 359.6 Å³ per cell
- Space group: No. 122
- Relative energy among the computed polymorphs: 92 meV per atom
- Formation energy from raw total energies: -1.624 eV per atom

a = 7.143 Å, b = 7.143 Å, c = 8.671 Å
α = 65.67°, β = 65.67°, γ = 90.00°
Atoms (fractional coordinates):
Cl 0.230 0.625 0.250
Cl 0.520 0.125 0.250
Cl 0.875 0.770 0.750
Cl 0.375 0.480 0.750
Ca 0.500 0.500 0.000
Ca 0.250 0.750 0.500
Rb 0.750 0.250 0.500
Rb 0.000 0.000 0.000

[5]
DFT (GGA-PBE) results for a relaxed Na2MnWBr crystal.

Summary:
- Volume: 129.9 Å³ per cell
- Space group: No. 123
- Relative energy among the computed polymorphs: 164 meV per atom
- Formation energy from raw total energies: 1.247 eV per atom

a = 5.166 Å, b = 4.867 Å, c = 5.166 Å
α = 90.00°, β = 90.00°, γ = 90.00°
Atoms (fractional coordinates):
W 0.000 0.500 0.000
Na 0.500 0.000 0.000
Mn 0.500 0.500 0.500
Na 0.000 0.000 0.500
Br 0.000 0.000 0.000

[6]
DFT (GGA-PBE) results for a relaxed MgAg2AsS4 crystal.

Summary:
- Volume: 189.6 Å³ per cell
- Space group: No. 1
- Formation energy from raw total energies: -0.336 eV per atom

a = 5.839 Å, b = 5.839 Å, c = 6.927 Å
α = 114.98°, β = 114.96°, γ = 89.93°
Atoms (fractional coordinates):
Ag 0.235 0.236 0.472
S 0.087 0.099 0.715
Mg 0.987 0.487 0.972
Ag 0.486 0.986 0.972
S 0.856 0.385 0.229
S 0.373 0.844 0.229
S 0.627 0.615 0.714
As 0.736 0.736 0.472

[7]
DFT (GGA-PBE) results for a relaxed MnCu2SiC crystal.

Summary:
- Volume: 83.2 Å³ per cell
- Space group: No. 123
- Formation energy from raw total energies: 2.189 eV per atom

a = 4.403 Å, b = 4.294 Å, c = 4.403 Å
α = 90.00°, β = 90.00°, γ = 90.00°
Atoms (fractional coordinates):
Cu 0.500 0.000 0.000
Cu 0.000 0.000 0.500
C 0.500 0.500 0.500
Mn 0.000 0.000 0.000
Si 0.000 0.500 0.000

[8]
DFT (GGA-PBE) results for a relaxed Sr6Sb2AsP crystal.

Summary:
- Volume: 751.8 Å³ per cell
- Space group: No. 14
- Formation energy from raw total energies: -1.074 eV per atom

a = 7.899 Å, b = 8.413 Å, c = 11.313 Å
α = 90.00°, β = 89.88°, γ = 90.00°
Atoms (fractional coordinates):
Sr 0.122 0.446 0.753
As 0.500 0.000 0.000
Sr 0.813 0.804 0.938
Sr 0.687 0.304 0.562
Sb 0.524 0.574 0.751
Sr 0.378 0.946 0.747
Sr 0.622 0.054 0.253
P 0.500 0.000 0.500
Sb 0.476 0.426 0.249
Sr 0.187 0.196 0.062
Sr 0.878 0.554 0.247
Sr 0.808 0.810 0.561
Sb 0.976 0.074 0.749
Sr 0.692 0.310 0.939
As 0.000 0.500 0.500
Sr 0.313 0.696 0.438
Sb 0.024 0.926 0.251
Sr 0.308 0.690 0.061
Sr 0.192 0.190 0.439
P 0.000 0.500 0.000

[9]
DFT (GGA-PBE) results for a relaxed Zr2V3Ni crystal.

Summary:
- Volume: 96.6 Å³ per cell
- Space group: No. 166
- Formation energy from the elements: -0.13 eV/atom

a = 5.072 Å, b = 5.072 Å, c = 5.232 Å
α = 90.00°, β = 119.02°, γ = 119.98°
Atoms (fractional coordinates):
Zr 0.747 0.373 0.120
V 0.500 0.500 0.500
V 0.500 0.000 0.500
Zr 0.253 0.627 0.880
Ni 0.000 0.000 0.000
V 0.000 0.000 0.500

[10]
DFT (GGA-PBE) results for a relaxed Cs2RbMgTi crystal.

Summary:
- Volume: 377.7 Å³ per cell
- Space group: No. 123
- Formation energy from the elements: 1.16 eV/atom

a = 7.716 Å, b = 6.344 Å, c = 7.716 Å
α = 90.00°, β = 90.00°, γ = 90.00°
Atoms (fractional coordinates):
Ti 0.000 0.500 0.000
Mg 0.500 0.500 0.500
Cs 0.000 0.000 0.500
Cs 0.500 0.000 0.000
Rb 0.000 0.000 0.000

[11]
DFT (GGA-PBE) results for a relaxed ScTi2F2 crystal.

Summary:
- Volume: 185.9 Å³ per cell
- Space group: No. 127
- Relative energy among the computed polymorphs: 39 meV per atom
- Formation energy from raw total energies: -0.972 eV per atom

a = 7.983 Å, b = 7.983 Å, c = 2.917 Å
α = 90.00°, β = 90.00°, γ = 90.00°
Atoms (fractional coordinates):
Sc 0.000 0.000 0.000
F 0.391 0.891 0.000
Ti 0.268 0.768 0.500
Ti 0.232 0.268 0.500
Ti 0.732 0.232 0.500
F 0.609 0.109 0.000
Sc 0.500 0.500 0.000
F 0.891 0.609 0.000
F 0.109 0.391 0.000
Ti 0.768 0.732 0.500

[12]
DFT (GGA-PBE) results for a relaxed SrCa3Zn crystal.

Summary:
- Volume: 205.6 Å³ per cell
- Space group: No. 221
- Relative energy among the computed polymorphs: 57 meV per atom
- Formation energy from the elements: -0.02 eV/atom

a = 5.902 Å, b = 5.902 Å, c = 5.902 Å
α = 90.00°, β = 90.00°, γ = 90.00°
Atoms (fractional coordinates):
Zn 0.000 0.000 0.000
Ca 0.000 0.000 0.500
Sr 0.500 0.500 0.500
Ca 0.000 0.500 0.000
Ca 0.500 0.000 0.000

Question: What is the volume in the third record?
Answer: 502.5 Å³ per cell

Please write out number 12 again, unchanged.
DFT (GGA-PBE) results for a relaxed SrCa3Zn crystal.

Summary:
- Volume: 205.6 Å³ per cell
- Space group: No. 221
- Relative energy among the computed polymorphs: 57 meV per atom
- Formation energy from the elements: -0.02 eV/atom

a = 5.902 Å, b = 5.902 Å, c = 5.902 Å
α = 90.00°, β = 90.00°, γ = 90.00°
Atoms (fractional coordinates):
Zn 0.000 0.000 0.000
Ca 0.000 0.000 0.500
Sr 0.500 0.500 0.500
Ca 0.000 0.500 0.000
Ca 0.500 0.000 0.000